# HfReF2, relaxed, DFT GGA-PBE
# Spin magnetization (μB per cell): 0.000
# Formation energy from raw total energies (meV/atom): -358
# Crystal system: trigonal
# Energy above the most stable polymorph in this dataset (meV per atom): 656
data_HfReF2
_cell_length_a 4.0425
_cell_length_b 4.0425
_cell_length_c 12.2305
_cell_angle_alpha 90.00
_cell_angle_beta 90.00
_cell_angle_gamma 120.00
_space_group_name_H-M_alt 'R -3 m'
_space_group_IT_number 166
_space_group_name_Hall '-R 3 2"'
loop_
_atom_site_label
_atom_site_type_symbol
_atom_site_fract_x
_atom_site_fract_y
_atom_site_fract_z
_atom_site_occupancy
Hf1 Hf 0.0000 0.0000 0.0000 1
Re1 Re 0.0000 0.0000 0.5000 1
F1 F 0.0000 0.0000 0.1738 1

# Hf2ReF2, relaxed, DFT GGA-PBE
# Spin magnetization (μB per cell): 0.000
# Formation energy from raw total energies (meV/atom): -926
# Crystal system: tetragonal
# Energy above the most stable polymorph in this dataset (meV per atom): 993
data_Hf2ReF2
_cell_length_a 7.752
_cell_length_b 7.752
_cell_length_c 2.781
_cell_angle_alpha 90.00
_cell_angle_beta 90.00
_cell_angle_gamma 90.00
_space_group_name_H-M_alt 'P 4/m b m'
_space_group_IT_number 127
_space_group_name_Hall '-P 4 2ab'
loop_
_atom_site_label
_atom_site_type_symbol
_atom_site_fract_x
_atom_site_fract_y
_atom_site_fract_z
_atom_site_occupancy
Hf1 Hf 0.246 0.254 0.000 1
Re1 Re 0.000 0.000 0.000 1
F1 F 0.103 0.603 0.500 1

# Hf2ReF2, relaxed, DFT GGA-PBE
# Spin magnetization (μB per cell): 0.000
# Formation energy from raw total energies (meV/atom): -1919
# Crystal system: tetragonal
# Energy above the most stable polymorph in this dataset (meV per atom): 0
data_Hf2ReF2
_cell_length_a 3.316
_cell_length_b 3.316
_cell_length_c 12.980
_cell_angle_alpha 90.00
_cell_angle_beta 90.00
_cell_angle_gamma 90.00
_space_group_name_H-M_alt 'I 4/m m m'
_space_group_IT_number 139
_space_group_name_Hall '-I 4 2'
loop_
_atom_site_label
_atom_site_type_symbol
_atom_site_fract_x
_atom_site_fract_y
_atom_site_fract_z
_atom_site_occupancy
Hf1 Hf 0.000 0.000 0.123 1
Re1 Re 0.000 0.000 0.500 1
F1 F 0.000 0.500 0.250 1

Q: What is the formation energy from raw total energies in the first record?
A: -358 meV/atom